(1)
Material: La6Sn2Te3Se
Method: DFT, GGA-PBE
State: relaxed

```
La6Sn2Te3Se
1.0
9.982 -2.290 0.000
9.982 2.290 0.000
-2.165 0.000 8.883
La Sn Te Se
6 2 3 1
direct
0.002 0.002 0.238
0.332 0.332 0.423
0.338 0.338 0.914
0.662 0.662 0.086
0.668 0.668 0.577
0.998 0.998 0.762
0.165 0.165 0.329
0.835 0.835 0.671
0.167 0.167 0.833
0.500 0.500 0.500
0.833 0.833 0.167
0.500 0.500 0.000
```

Space group: C2/m
Crystal system: monoclinic
E_form (uncorrected), eV per atom: -1.41
Magnetization, μB per formula unit: 0.0

=====

(2)
Material: La3Tl4SnSe8
Method: DFT, GGA-PBE
State: relaxed

```
La3Tl4SnSe8
1.0
4.378 2.528 7.662
-4.378 2.528 7.662
0.000 -5.056 7.662
La Tl Sn Se
3 4 1 8
direct
0.000 0.500 0.500
0.500 0.000 0.500
0.500 0.500 0.000
0.000 0.000 0.500
0.000 0.500 0.000
0.500 0.000 0.000
0.500 0.500 0.500
0.000 0.000 0.000
0.232 0.232 0.746
0.232 0.746 0.232
0.254 0.768 0.768
0.262 0.262 0.262
0.738 0.738 0.738
0.746 0.232 0.232
0.768 0.254 0.768
0.768 0.768 0.254
```

Space group: R-3m
Crystal system: trigonal
E_form (uncorrected), eV per atom: -1.17
Magnetization, μB per formula unit: 0.0